No. 1
{
  "formula": "NdDy3Sc2",
  "functional": "PBE",
  "state": "optimized geometry",
  "energy_ev_per_atom": -4.9109,
  "total_magnetization_mub_per_cell": 0.000,
  "ef_ev_per_atom": 0.2953,
  "polymorph_energy_mev_per_atom": 142,
  "sg": "No. 63",
  "cell": [[7.150, -4.867, 0.000], [7.150, 4.867, 0.000], [0.000, 0.000, 5.466]],
  "species": ["Nd", "Nd", "Dy", "Dy", "Dy", "Dy", "Dy", "Dy", "Sc", "Sc", "Sc", "Sc"],
  "fractional_positions": [[0.232, 0.768, 0.750], [0.768, 0.232, 0.250], [0.132, 0.391, 0.250], [0.391, 0.132, 0.750], [0.405, 0.595, 0.250], [0.595, 0.405, 0.750], [0.609, 0.868, 0.250], [0.868, 0.609, 0.750], [0.015, 0.198, 0.750], [0.198, 0.015, 0.250], [0.802, 0.985, 0.750], [0.985, 0.802, 0.250]]
}

No. 2
{
  "formula": "ScVRu",
  "functional": "PBE",
  "state": "optimized geometry",
  "energy_ev_per_atom": -8.4874,
  "total_magnetization_mub_per_cell": 0.000,
  "ef_ev_per_atom": -0.2454,
  "polymorph_energy_mev_per_atom": 98,
  "sg": "No. 12",
  "cell": [[4.900, -2.085, 0.000], [4.900, 2.085, 0.000], [-3.897, 0.000, 5.106]],
  "species": ["Sc", "Sc", "V", "V", "Ru", "Ru"],
  "fractional_positions": [[0.058, 0.058, 0.305], [0.942, 0.942, 0.695], [0.323, 0.323, 0.920], [0.677, 0.677, 0.080], [0.333, 0.333, 0.292], [0.667, 0.667, 0.708]]
}

No. 3
{
  "formula": "GaBiO2",
  "functional": "PBE",
  "state": "optimized geometry",
  "energy_ev_per_atom": -4.7036,
  "total_magnetization_mub_per_cell": 0.000,
  "e_form_raw_ev_per_atom": -0.4975,
  "polymorph_energy_mev_per_atom": 765,
  "sg": "No. 225",
  "cell": [[0.000, 3.055, 3.055], [3.055, 0.000, 3.055], [3.055, 3.055, 0.000]],
  "species": ["Ga", "Bi", "O", "O"],
  "fractional_positions": [[0.000, 0.000, 0.000], [0.500, 0.500, 0.500], [0.250, 0.250, 0.250], [0.750, 0.750, 0.750]]
}

No. 4
{
  "formula": "PrFeCoGe2",
  "functional": "PBE",
  "state": "optimized geometry",
  "energy_ev_per_atom": -6.4373,
  "total_magnetization_mub_per_cell": 0.001,
  "ef_ev_per_atom": -0.5208,
  "sg": "No. 119",
  "cell": [[-2.036, 2.036, 5.100], [2.036, -2.036, 5.100], [2.036, 2.036, -5.100]],
  "species": ["Pr", "Fe", "Co", "Ge", "Ge"],
  "fractional_positions": [[0.000, 0.000, 0.000], [0.250, 0.750, 0.500], [0.750, 0.250, 0.500], [0.365, 0.365, 0.000], [0.635, 0.635, 0.000]]
}

No. 5
{
  "formula": "Pm7YCd2",
  "functional": "PBE",
  "state": "optimized geometry",
  "energy_ev_per_atom": -3.7756,
  "total_magnetization_mub_per_cell": 0.003,
  "ef_ev_per_atom": 0.3793,
  "sg": "No. 65",
  "cell": [[4.514, -8.108, 0.000], [4.514, 8.108, 0.000], [0.000, 0.000, 5.340]],
  "species": ["Pm", "Pm", "Pm", "Pm", "Pm", "Pm", "Pm", "Y", "Cd", "Cd"],
  "fractional_positions": [[0.000, 0.000, 0.000], [0.200, 0.434, 0.000], [0.278, 0.722, 0.500], [0.434, 0.200, 0.000], [0.566, 0.800, 0.000], [0.722, 0.278, 0.500], [0.800, 0.566, 0.000], [0.500, 0.500, 0.500], [0.197, 0.803, 0.000], [0.803, 0.197, 0.000]]
}

No. 6
{
  "formula": "Pa2NiSn",
  "functional": "PBE",
  "state": "optimized geometry",
  "energy_ev_per_atom": -6.9257,
  "total_magnetization_mub_per_cell": 0.107,
  "ef_ev_per_atom": 0.2683,
  "polymorph_energy_mev_per_atom": 497,
  "sg": "No. 166",
  "cell": [[1.581, 0.913, 10.523], [-1.581, 0.913, 10.523], [0.000, -1.825, 10.523]],
  "species": ["Pa", "Pa", "Ni", "Sn"],
  "fractional_positions": [[0.079, 0.079, 0.079], [0.921, 0.921, 0.921], [0.000, 0.000, 0.000], [0.500, 0.500, 0.500]]
}

No. 7
{
  "formula": "SrYZr2",
  "functional": "PBE",
  "state": "optimized geometry",
  "energy_ev_per_atom": -5.5272,
  "total_magnetization_mub_per_cell": 0.000,
  "ef_ev_per_atom": 0.7833,
  "polymorph_energy_mev_per_atom": 554,
  "sg": "No. 122",
  "cell": [[-2.268, 2.268, 11.506], [2.268, -2.268, 11.506], [2.268, 2.268, -11.506]],
  "species": ["Sr", "Sr", "Y", "Y", "Zr", "Zr", "Zr", "Zr"],
  "fractional_positions": [[0.000, 0.000, 0.000], [0.750, 0.250, 0.500], [0.250, 0.750, 0.500], [0.500, 0.500, 0.000], [0.137, 0.625, 0.012], [0.375, 0.387, 0.512], [0.613, 0.125, 0.988], [0.875, 0.863, 0.488]]
}

No. 8
{
  "formula": "TlAg3Se3",
  "functional": "PBE",
  "state": "optimized geometry",
  "energy_ev_per_atom": -3.0850,
  "total_magnetization_mub_per_cell": 0.000,
  "e_form_raw_ev_per_atom": -0.0317,
  "polymorph_energy_mev_per_atom": 45,
  "sg": "No. 223",
  "cell": [[7.371, 0.000, 0.000], [0.000, 7.371, 0.000], [0.000, 0.000, 7.371]],
  "species": ["Tl", "Tl", "Ag", "Ag", "Ag", "Ag", "Ag", "Ag", "Se", "Se", "Se", "Se", "Se", "Se"],
  "fractional_positions": [[0.000, 0.000, 0.000], [0.500, 0.500, 0.500], [0.000, 0.250, 0.500], [0.000, 0.750, 0.500], [0.250, 0.500, 0.000], [0.500, 0.000, 0.250], [0.500, 0.000, 0.750], [0.750, 0.500, 0.000], [0.000, 0.500, 0.250], [0.000, 0.500, 0.750], [0.250, 0.000, 0.500], [0.500, 0.250, 0.000], [0.500, 0.750, 0.000], [0.750, 0.000, 0.500]]
}

No. 9
{
  "formula": "TaHI2",
  "functional": "PBE",
  "state": "optimized geometry",
  "energy_ev_per_atom": -4.6773,
  "total_magnetization_mub_per_cell": 0.000,
  "sg": "No. 8",
  "cell": [[8.406, -1.915, 0.000], [8.406, 1.915, 0.000], [-0.678, 0.000, 6.714]],
  "species": ["Ta", "Ta", "H", "H", "I", "I", "I", "I"],
  "fractional_positions": [[0.000, 0.000, 0.000], [0.574, 0.574, 0.752], [0.539, 0.539, 0.028], [0.905, 0.905, 0.094], [0.014, 0.014, 0.428], [0.169, 0.169, 0.995], [0.405, 0.405, 0.770], [0.711, 0.711, 0.533]]
}

No. 10
{
  "formula": "TlHg2I",
  "functional": "PBE",
  "state": "optimized geometry",
  "energy_ev_per_atom": -1.3579,
  "total_magnetization_mub_per_cell": 0.000,
  "e_form_raw_ev_per_atom": -0.2279,
  "polymorph_energy_mev_per_atom": 80,
  "sg": "No. 122",
  "cell": [[-4.679, 4.679, 3.363], [4.679, -4.679, 3.363], [4.679, 4.679, -3.363]],
  "species": ["Tl", "Tl", "Hg", "Hg", "Hg", "Hg", "I", "I"],
  "fractional_positions": [[0.000, 0.000, 0.000], [0.750, 0.250, 0.500], [0.108, 0.625, 0.983], [0.375, 0.358, 0.483], [0.642, 0.125, 0.017], [0.875, 0.892, 0.517], [0.250, 0.750, 0.500], [0.500, 0.500, 0.000]]
}

No. 11
{
  "formula": "KTlSn2Pb",
  "functional": "PBE",
  "state": "optimized geometry",
  "energy_ev_per_atom": -3.1272,
  "total_magnetization_mub_per_cell": 0.000,
  "ef_ev_per_atom": -0.0917,
  "sg": "No. 44",
  "cell": [[-2.220, 2.716, 7.220], [2.220, -2.716, 7.220], [2.220, 2.716, -7.220]],
  "species": ["K", "Tl", "Sn", "Sn", "Pb"],
  "fractional_positions": [[0.000, 0.000, 0.000], [0.391, 0.391, 0.000], [0.619, 0.619, 0.000], [0.761, 0.261, 0.500], [0.228, 0.728, 0.500]]
}

No. 12
{
  "formula": "AlFePb2",
  "functional": "PBE",
  "state": "optimized geometry",
  "energy_ev_per_atom": -4.7221,
  "total_magnetization_mub_per_cell": 1.692,
  "ef_ev_per_atom": 0.1834,
  "sg": "No. 99",
  "cell": [[3.248, 0.000, 0.000], [0.000, 3.248, 0.000], [0.000, 0.000, 8.548]],
  "species": ["Al", "Fe", "Pb", "Pb"],
  "fractional_positions": [[0.000, 0.000, 0.000], [0.500, 0.500, 0.111], [0.000, 0.000, 0.348], [0.500, 0.500, 0.733]]
}

No. 13
{
  "formula": "Tb7Ho4Er",
  "functional": "PBE",
  "state": "optimized geometry",
  "energy_ev_per_atom": -4.5185,
  "total_magnetization_mub_per_cell": 0.000,
  "ef_ev_per_atom": 0.0887,
  "polymorph_energy_mev_per_atom": 0,
  "sg": "No. 2",
  "cell": [[6.453, 0.000, 0.000], [0.906, 6.713, 0.000], [2.080, 0.285, 8.759]],
  "species": ["Tb", "Tb", "Tb", "Tb", "Tb", "Tb", "Tb", "Ho", "Ho", "Ho", "Ho", "Er"],
  "fractional_positions": [[0.000, 0.000, 0.000], [0.193, 0.602, 0.386], [0.313, 0.202, 0.641], [0.487, 0.749, 0.051], [0.513, 0.251, 0.949], [0.687, 0.798, 0.359], [0.807, 0.398, 0.614], [0.160, 0.111, 0.313], [0.356, 0.696, 0.716], [0.644, 0.304, 0.284], [0.840, 0.889, 0.687], [0.000, 0.500, 0.000]]
}

No. 14
{
  "formula": "NaAu3Se",
  "functional": "PBE",
  "state": "optimized geometry",
  "energy_ev_per_atom": -2.7935,
  "total_magnetization_mub_per_cell": 0.000,
  "e_form_raw_ev_per_atom": 0.1336,
  "polymorph_energy_mev_per_atom": 0,
  "sg": "No. 221",
  "cell": [[5.161, 0.000, 0.000], [0.000, 5.161, 0.000], [0.000, 0.000, 5.161]],
  "species": ["Na", "Au", "Au", "Au", "Se"],
  "fractional_positions": [[0.000, 0.000, 0.000], [0.000, 0.500, 0.500], [0.500, 0.000, 0.500], [0.500, 0.500, 0.000], [0.500, 0.500, 0.500]]
}

No. 15
{
  "formula": "Li2CuMo",
  "functional": "PBE",
  "state": "optimized geometry",
  "energy_ev_per_atom": -4.1372,
  "total_magnetization_mub_per_cell": 2.274,
  "ef_ev_per_atom": 0.5516,
  "polymorph_energy_mev_per_atom": 352,
  "sg": "No. 123",
  "cell": [[3.671, 0.000, 0.000], [0.000, 3.671, 0.000], [0.000, 0.000, 4.279]],
  "species": ["Li", "Li", "Cu", "Mo"],
  "fractional_positions": [[0.000, 0.500, 0.000], [0.500, 0.000, 0.000], [0.000, 0.000, 0.500], [0.500, 0.500, 0.500]]
}

No. 16
{
  "formula": "Nd2ScSi3Ni12",
  "functional": "PBE",
  "state": "optimized geometry",
  "energy_ev_per_atom": -5.8276,
  "total_magnetization_mub_per_cell": 0.000,
  "e_form_raw_ev_per_atom": -0.1880,
  "sg": "No. 166",
  "cell": [[4.284, 2.474, 3.967], [-4.284, 2.474, 3.967], [0.000, -4.947, 3.967]],
  "species": ["Nd", "Nd", "Sc", "Si", "Si", "Si", "Ni", "Ni", "Ni", "Ni", "Ni", "Ni", "Ni", "Ni", "Ni", "Ni", "Ni", "Ni"],
  "fractional_positions": [[0.150, 0.150, 0.150], [0.850, 0.850, 0.850], [0.500, 0.500, 0.500], [0.000, 0.500, 0.500], [0.500, 0.000, 0.500], [0.500, 0.500, 0.000], [0.120, 0.120, 0.590], [0.120, 0.590, 0.120], [0.199, 0.688, 0.688], [0.312, 0.312, 0.801], [0.312, 0.801, 0.312], [0.410, 0.880, 0.880], [0.590, 0.120, 0.120], [0.688, 0.199, 0.688], [0.688, 0.688, 0.199], [0.801, 0.312, 0.312], [0.880, 0.410, 0.880], [0.880, 0.880, 0.410]]
}

No. 17
{
  "formula": "Ce3Sb2",
  "functional": "PBE",
  "state": "optimized geometry",
  "energy_ev_per_atom": -5.9584,
  "total_magnetization_mub_per_cell": 7.181,
  "e_form_raw_ev_per_atom": -0.7492,
  "polymorph_energy_mev_per_atom": 22,
  "sg": "No. 141",
  "cell": [[-3.036, 3.036, 8.023], [3.036, -3.036, 8.023], [3.036, 3.036, -8.023]],
  "species": ["Ce", "Ce", "Ce", "Ce", "Ce", "Ce", "Sb", "Sb", "Sb", "Sb"],
  "fractional_positions": [[0.000, 0.000, 0.000], [0.000, 0.000, 0.500], [0.000, 0.500, 0.000], [0.375, 0.625, 0.750], [0.500, 0.000, 0.500], [0.625, 0.375, 0.250], [0.178, 0.428, 0.750], [0.428, 0.178, 0.250], [0.572, 0.822, 0.750], [0.822, 0.572, 0.250]]
}

No. 18
{
  "formula": "Ir2PtAu",
  "functional": "PBE",
  "state": "optimized geometry",
  "energy_ev_per_atom": -6.5249,
  "total_magnetization_mub_per_cell": 0.000,
  "ef_ev_per_atom": 0.2352,
  "polymorph_energy_mev_per_atom": 126,
  "sg": "No. 166",
  "cell": [[1.405, 0.811, 9.127], [-1.405, 0.811, 9.127], [0.000, -1.622, 9.127]],
  "species": ["Ir", "Ir", "Pt", "Au"],
  "fractional_positions": [[0.247, 0.247, 0.247], [0.753, 0.753, 0.753], [0.500, 0.500, 0.500], [0.000, 0.000, 0.000]]
}

No. 19
{
  "formula": "Ac2MgInO6",
  "functional": "PBE",
  "state": "optimized geometry",
  "energy_ev_per_atom": -6.7818,
  "total_magnetization_mub_per_cell": 2.042,
  "e_form_raw_ev_per_atom": -2.5519,
  "sg": "No. 14",
  "cell": [[5.838, 0.000, 0.000], [0.000, 5.964, 0.000], [-5.799, 0.000, 8.256]],
  "species": ["Ac", "Ac", "Ac", "Ac", "Mg", "Mg", "In", "In", "O", "O", "O", "O", "O", "O", "O", "O", "O", "O", "O", "O"],
  "fractional_positions": [[0.238, 0.047, 0.250], [0.238, 0.453, 0.750], [0.762, 0.547, 0.250], [0.762, 0.953, 0.750], [0.000, 0.000, 0.500], [0.000, 0.500, 0.000], [0.500, 0.000, 0.000], [0.500, 0.500, 0.500], [0.151, 0.210, 0.951], [0.151, 0.290, 0.451], [0.242, 0.702, 0.951], [0.242, 0.798, 0.451], [0.336, 0.034, 0.745], [0.336, 0.466, 0.245], [0.664, 0.534, 0.755], [0.664, 0.966, 0.255], [0.758, 0.202, 0.549], [0.758, 0.298, 0.049], [0.849, 0.710, 0.549], [0.849, 0.790, 0.049]]
}

No. 20
{
  "formula": "MgTiCo2",
  "functional": "PBE",
  "state": "optimized geometry",
  "energy_ev_per_atom": -5.2982,
  "total_magnetization_mub_per_cell": 1.880,
  "ef_ev_per_atom": 0.6271,
  "sg": "No. 71",
  "cell": [[-1.323, 2.394, 4.713], [1.323, -2.394, 4.713], [1.323, 2.394, -4.713]],
  "species": ["Mg", "Ti", "Co", "Co"],
  "fractional_positions": [[0.000, 0.000, 0.000], [0.500, 0.500, 0.000], [0.263, 0.263, 0.000], [0.737, 0.737, 0.000]]
}